# 1
# BeZn3Rh | the Alexandria database | PBE | optimized geometry
# offset from the most stable computed form = 0.000 eV/atom
# SG = No. 221
# crystal system = cubic
# electronic total energy = -2.576 eV per atom
# ΔH_f (0 K) = 404 meV per atom
data_BeZn3Rh
_symmetry_space_group_name_H-M 'P 1'
_symmetry_Int_Tables_number 1
_symmetry_space_group_name_Hall 'P 1'
_cell_length_a 4.1533
_cell_length_b 4.1533
_cell_length_c 4.1533
_cell_angle_alpha 90.00
_cell_angle_beta 90.00
_cell_angle_gamma 90.00
loop_
_atom_site_label
_atom_site_type_symbol
_atom_site_fract_x
_atom_site_fract_y
_atom_site_fract_z
Be1 Be 0.0000 0.0000 0.0000
Zn1 Zn 0.0000 0.5000 0.0000
Zn2 Zn 0.0000 0.0000 0.5000
Zn3 Zn 0.5000 0.0000 0.0000
Rh1 Rh 0.5000 0.5000 0.5000

=====

# 2
# BeZn2Rh3 | the Alexandria database | PBE | optimized geometry
# SG = No. 65
# crystal system = orthorhombic
# electronic total energy = -5.134 eV per atom
# ΔH_f (0 K) = -413 meV per atom
data_BeZn2Rh3
_symmetry_space_group_name_H-M 'P 1'
_symmetry_Int_Tables_number 1
_symmetry_space_group_name_Hall 'P 1'
_cell_length_a 4.1504
_cell_length_b 6.5548
_cell_length_c 5.9914
_cell_angle_alpha 90.00
_cell_angle_beta 90.00
_cell_angle_gamma 71.54
loop_
_atom_site_label
_atom_site_type_symbol
_atom_site_fract_x
_atom_site_fract_y
_atom_site_fract_z
Be1 Be 0.3351 0.3297 0.0000
Be2 Be 0.6649 0.6703 0.0000
Zn1 Zn 0.0000 0.0000 0.0000
Zn2 Zn 0.0000 0.0000 0.5000
Zn3 Zn 0.3347 0.3306 0.5000
Zn4 Zn 0.6653 0.6694 0.5000
Rh1 Rh 0.8277 0.3446 0.7694
Rh2 Rh 0.5000 0.0000 0.2387
Rh3 Rh 0.1723 0.6554 0.2306
Rh4 Rh 0.8277 0.3446 0.2306
Rh5 Rh 0.1723 0.6554 0.7694
Rh6 Rh 0.5000 0.0000 0.7613

=====

# 3
# BeZn3Rh | the Alexandria database | PBE | optimized geometry
# offset from the most stable computed form = 0.267 eV/atom
# SG = No. 221
# crystal system = cubic
# electronic total energy = -2.309 eV per atom
# ΔH_f (0 K) = 671 meV per atom
data_BeZn3Rh
_symmetry_space_group_name_H-M 'P 1'
_symmetry_Int_Tables_number 1
_symmetry_space_group_name_Hall 'P 1'
_cell_length_a 4.7456
_cell_length_b 4.7456
_cell_length_c 4.7456
_cell_angle_alpha 90.00
_cell_angle_beta 90.00
_cell_angle_gamma 90.00
loop_
_atom_site_label
_atom_site_type_symbol
_atom_site_fract_x
_atom_site_fract_y
_atom_site_fract_z
Be1 Be 0.5000 0.5000 0.5000
Zn1 Zn 0.0000 0.5000 0.0000
Zn2 Zn 0.0000 0.0000 0.5000
Zn3 Zn 0.5000 0.0000 0.0000
Rh1 Rh 0.0000 0.0000 0.0000